[1]
VASP calculation (PBE-GGA) on a geometry-optimized Ag3Br4 structure.

abc: 8.2660 8.2660 8.2660
angles: 60.00 60.00 60.00
Positions (direct):
Ag 0.0000 0.0000 0.0000
Ag 0.0000 0.0000 0.5000
Ag 0.0000 0.5000 0.0000
Ag 0.3750 0.3750 0.3750
Ag 0.5000 0.0000 0.0000
Ag 0.6250 0.6250 0.6250
Br 0.2282 0.7573 0.7573
Br 0.2427 0.2427 0.2427
Br 0.2427 0.2427 0.7718
Br 0.2427 0.7718 0.2427
Br 0.7573 0.2282 0.7573
Br 0.7573 0.7573 0.2282
Br 0.7573 0.7573 0.7573
Br 0.7718 0.2427 0.2427

Values from the calculation:
Total energy in eV/atom: -2.46
Total magnetic moment in μB per atom: 0.000
Energy relative to the elements, uncorrected in eV per atom: -0.2776
Calculated density in g cm⁻³: 5.349
Distance to the lowest polymorph of the same formula in kJ per mole of atoms: 0.00

***

[2]
VASP calculation (PBE-GGA) on a geometry-optimized RbY6Te8 structure.

abc: 11.7095 11.7095 4.4544
angles: 90.00 90.00 120.00
Positions (direct):
Rb 0.0000 0.0000 0.0000
Y 0.1361 0.6495 0.7508
Y 0.3505 0.4866 0.7508
Y 0.4866 0.1361 0.2492
Y 0.5134 0.8639 0.7508
Y 0.6495 0.5134 0.2492
Y 0.8639 0.3505 0.2492
Te 0.0451 0.3502 0.7491
Te 0.3052 0.9549 0.7491
Te 0.3333 0.6667 0.2506
Te 0.3502 0.3052 0.2509
Te 0.6498 0.6948 0.7491
Te 0.6667 0.3333 0.7494
Te 0.6948 0.0451 0.2509
Te 0.9549 0.6498 0.2509

Values from the calculation:
Total energy in eV/atom: -5.70
Total magnetic moment in μB per atom: 0.075
Energy relative to the elements, uncorrected in eV per atom: -1.3697
Calculated density in g cm⁻³: 5.148

***

[3]
VASP calculation (PBE-GGA) on a geometry-optimized La2Pm4N structure.

abc: 18.5169 18.5169 18.5169
angles: 11.35 11.35 11.35
Positions (direct):
La 0.2466 0.2466 0.2466
La 0.7534 0.7534 0.7534
Pm 0.1393 0.1393 0.1393
Pm 0.3581 0.3581 0.3581
Pm 0.6419 0.6419 0.6419
Pm 0.8607 0.8607 0.8607
N 0.0000 0.0000 0.0000

Values from the calculation:
Total energy in eV/atom: -5.69
Total magnetic moment in μB per atom: 0.000
Energy relative to the elements, uncorrected in eV per atom: -0.3831
Calculated density in g cm⁻³: 6.777
Distance to the lowest polymorph of the same formula in kJ per mole of atoms: 0.00